Material: Na2CrBr
Method: DFT, SCAN
State: single point on PBEsol structure

POSCAR file:
```
Na2CrBr
1.0
-5.9362 -3.2300 0.8075
4.5575 -1.3909 4.8599
-1.2692 6.6819 0.2541
Cr Br Na
2 2 4
Cartesian
-3.9474 0.5707 1.9476
-0.6894 -2.3104 2.8337
1.2995 1.4903 3.9739
0.0000 0.0000 0.0000
-2.1113 -0.5728 5.1258
-0.8814 1.4787 2.2125
-4.5330 4.2909 1.1745
2.2297 -1.0746 3.3302
```

Computed properties:
ΔE_f (raw), eV per atom: -0.147